A plane-wave DFT calculation with PBE-GGA was carried out for crystalline ErLuSnC at its relaxed geometry.

The structure belongs to space group P-6m2 (No. 187); the cell edges are 3.5586, 3.5586 and 15.5615 Å and the angles 90.00°, 90.00° and 120.00°. The asymmetric unit holds Er at (0.0000, 0.0000, 0.1661), Lu at (0.3333, 0.6667, 0.3339), Sn at (0.0000, 0.0000, 0.5000), Sn at (0.3333, 0.6667, 0.0000) and C at (0.6667, 0.3333, 0.2514).

For the energy, the calculation gives -49.39 eV per cell. The value obtained for the size of the total moment is 0.00 μB/f.u.

---

A plane-wave DFT calculation with PBE-GGA was carried out for crystalline ErLuSnC at its relaxed geometry.

The structure belongs to space group P-3m1 (No. 164); the cell edges are 3.5579, 3.5579 and 15.5705 Å and the angles 90.00°, 90.00° and 120.00°. The asymmetric unit holds Er at (0.3333, 0.6667, 0.0850), Lu at (0.3333, 0.6667, 0.4172), Sn at (0.3333, 0.6667, 0.7481), C at (0.0000, 0.0000, 0.0000) and C at (0.0000, 0.0000, 0.5000).

For the energy, the calculation gives -49.40 eV per cell. The value obtained for the size of the total moment is 0.03 μB/f.u.

---

A plane-wave DFT calculation with PBE-GGA was carried out for crystalline ErLu3Sn2C2 at its relaxed geometry.

The structure belongs to space group P3m1 (No. 156); the cell edges are 3.5457, 3.5457 and 15.4997 Å and the angles 90.00°, 90.00° and 120.00°. The asymmetric unit holds Er at (0.0000, 0.0000, 0.0000), Lu at (0.0000, 0.0000, 0.3325), Lu at (0.3333, 0.6667, 0.4991), Lu at (0.3333, 0.6667, 0.8315), Sn at (0.0000, 0.0000, 0.6655), Sn at (0.3333, 0.6667, 0.1670), C at (0.6667, 0.3333, 0.4159) and C at (0.6667, 0.3333, 0.9144).

For the energy, the calculation gives -49.44 eV per cell. The value obtained for the size of the total moment is 0.03 μB/f.u.

---

A plane-wave DFT calculation with PBE-GGA was carried out for crystalline ErLuSnC at its relaxed geometry.

The structure belongs to space group P6_3mc (No. 186); the cell edges are 3.5584, 3.5584 and 15.5583 Å and the angles 90.00°, 90.00° and 120.00°. The asymmetric unit holds Er at (0.3333, 0.6667, 0.0000), Lu at (0.3333, 0.6667, 0.3321), Sn at (0.3333, 0.6667, 0.6670) and C at (0.0000, 0.0000, 0.4149).

For the energy, the calculation gives -49.39 eV per cell. The value obtained for the size of the total moment is 0.03 μB/f.u.

---

A plane-wave DFT calculation with PBE-GGA was carried out for crystalline Er3LuSn2C2 at its relaxed geometry.

The structure belongs to space group P3m1 (No. 156); the cell edges are 3.5713, 3.5713 and 15.6277 Å and the angles 90.00°, 90.00° and 120.00°. The asymmetric unit holds Er at (0.0000, 0.0000, 0.0000), Er at (0.0000, 0.0000, 0.3318), Er at (0.3333, 0.6667, 0.5010), Lu at (0.3333, 0.6667, 0.8327), Sn at (0.0000, 0.0000, 0.6676), Sn at (0.3333, 0.6667, 0.1661), C at (0.6667, 0.3333, 0.4165) and C at (0.6667, 0.3333, 0.9151).

For the energy, the calculation gives -49.36 eV per cell. The value obtained for the size of the total moment is 0.05 μB/f.u.

---

A plane-wave DFT calculation with PBE-GGA was carried out for crystalline ErLuTeC at its relaxed geometry.

The structure belongs to space group P-3m1 (No. 164); the cell edges are 3.7695, 3.7695 and 13.7948 Å and the angles 90.00°, 90.00° and 120.00°. The asymmetric unit holds Er at (0.3333, 0.6667, 0.0936), Lu at (0.3333, 0.6667, 0.4092), Te at (0.3333, 0.6667, 0.7469), C at (0.0000, 0.0000, 0.0000) and C at (0.0000, 0.0000, 0.5000).

For the energy, the calculation gives -50.01 eV per cell. The value obtained for the size of the total moment is 0.00 μB/f.u.

---

A plane-wave DFT calculation with PBE-GGA was carried out for crystalline ErLuTeC at its relaxed geometry.

The structure belongs to space group P-6m2 (No. 187); the cell edges are 3.7683, 3.7683 and 13.7994 Å and the angles 90.00°, 90.00° and 120.00°. The asymmetric unit holds Er at (0.0000, 0.0000, 0.1590), Lu at (0.6667, 0.3333, 0.3434), Te at (0.0000, 0.0000, 0.5000), Te at (0.6667, 0.3333, 0.0000) and C at (0.3333, 0.6667, 0.2524).

For the energy, the calculation gives -50.01 eV per cell. The value obtained for the size of the total moment is 0.00 μB/f.u.

---

A plane-wave DFT calculation with PBE-GGA was carried out for crystalline ErLuTeC at its relaxed geometry.

The structure belongs to space group P6_3mc (No. 186); the cell edges are 3.7687, 3.7687 and 13.7922 Å and the angles 90.00°, 90.00° and 120.00°. The asymmetric unit holds Er at (0.3333, 0.6667, 0.0000), Lu at (0.3333, 0.6667, 0.6844), Te at (0.3333, 0.6667, 0.3406) and C at (0.0000, 0.0000, 0.0935).

For the energy, the calculation gives -50.01 eV per cell. The value obtained for the size of the total moment is 0.00 μB/f.u.

---

A plane-wave DFT calculation with PBE-GGA was carried out for crystalline ErLu3Te2C2 at its relaxed geometry.

The structure belongs to space group P3m1 (No. 156); the cell edges are 3.7568, 3.7568 and 13.7532 Å and the angles 90.00°, 90.00° and 120.00°. The asymmetric unit holds Er at (0.0000, 0.0000, 0.0000), Lu at (0.0000, 0.0000, 0.6834), Lu at (0.6667, 0.3333, 0.1851), Lu at (0.6667, 0.3333, 0.5006), Te at (0.0000, 0.0000, 0.3427), Te at (0.6667, 0.3333, 0.8402), C at (0.3333, 0.6667, 0.0940) and C at (0.3333, 0.6667, 0.5920).

For the energy, the calculation gives -49.97 eV per cell. The value obtained for the size of the total moment is 0.00 μB/f.u.

---

A plane-wave DFT calculation with PBE-GGA was carried out for crystalline ErLuTlC at its relaxed geometry.

The structure belongs to space group P-3m1 (No. 164); the cell edges are 3.5552, 3.5552 and 16.0247 Å and the angles 90.00°, 90.00° and 120.00°. The asymmetric unit holds Er at (0.3333, 0.6667, 0.0833), Lu at (0.3333, 0.6667, 0.4190), Tl at (0.3333, 0.6667, 0.7484), C at (0.0000, 0.0000, 0.0000) and C at (0.0000, 0.0000, 0.5000).

For the energy, the calculation gives -44.73 eV per cell. The value obtained for the size of the total moment is 0.05 μB/f.u.

---

A plane-wave DFT calculation with PBE-GGA was carried out for crystalline ErLuTlC at its relaxed geometry.

The structure belongs to space group P6_3mc (No. 186); the cell edges are 3.5531, 3.5531 and 16.0118 Å and the angles 90.00°, 90.00° and 120.00°. The asymmetric unit holds Er at (0.3333, 0.6667, 0.0000), Lu at (0.3333, 0.6667, 0.3351), Tl at (0.3333, 0.6667, 0.6686) and C at (0.0000, 0.0000, 0.4166).

For the energy, the calculation gives -44.73 eV per cell. The value obtained for the size of the total moment is 0.05 μB/f.u.

---

A plane-wave DFT calculation with PBE-GGA was carried out for crystalline ErLuTlC at its relaxed geometry.

The structure belongs to space group P-6m2 (No. 187); the cell edges are 3.5542, 3.5542 and 15.9970 Å and the angles 90.00°, 90.00° and 120.00°. The asymmetric unit holds Er at (0.0000, 0.0000, 0.1683), Lu at (0.3333, 0.6667, 0.3332), Tl at (0.0000, 0.0000, 0.5000), Tl at (0.3333, 0.6667, 0.0000) and C at (0.6667, 0.3333, 0.2516).

For the energy, the calculation gives -44.73 eV per cell. The value obtained for the size of the total moment is 0.08 μB/f.u.

---

A plane-wave DFT calculation with PBE-GGA was carried out for crystalline ErMo3C3 at its relaxed geometry.

The structure belongs to space group P6_3/mmc (No. 194); the cell edges are 3.3903, 3.3903 and 18.6418 Å and the angles 90.00°, 90.00° and 120.00°. The asymmetric unit holds Er at (0.0000, 0.0000, 0.0000), Mo at (0.3333, 0.6667, 0.1338), Mo at (0.3333, 0.6667, 0.7500), C at (0.3333, 0.6667, 0.2500) and C at (0.3333, 0.6667, 0.5861).

For the energy, the calculation gives -130.83 eV per cell. The value obtained for the size of the total moment is 0.00 μB/f.u.

---

A plane-wave DFT calculation with PBE-GGA was carried out for crystalline NdErMo2C3 at its relaxed geometry.

The structure belongs to space group Cm (No. 8); the cell edges are 11.372, 3.423 and 5.773 Å and the angles 90.00°, 106.86° and 90.00°. The asymmetric unit holds Nd at (0.000, 0.000, 0.000), Er at (0.276, 0.500, 0.354), Mo at (0.041, 0.500, 0.553), Mo at (0.238, 0.000, 0.794), C at (0.120, 0.000, 0.439), C at (0.166, 0.500, 0.914) and C at (0.387, 0.000, 0.662).

For the energy, the calculation gives -120.97 eV per cell. The value obtained for the size of the total moment is 0.01 μB/f.u.

---

A plane-wave DFT calculation with PBE-GGA was carried out for crystalline Er2SiMo2C2 at its relaxed geometry.

The structure belongs to space group C2/m (No. 12); the cell edges are 13.648, 3.289 and 5.769 Å and the angles 90.00°, 112.63° and 90.00°. The asymmetric unit holds Er at (0.133, 0.000, 0.312), Si at (0.000, 0.500, 0.500), Mo at (0.173, 0.500, 0.840) and C at (0.249, 0.500, 0.243).

For the energy, the calculation gives -113.72 eV per cell. The value obtained for the size of the total moment is 0.01 μB/f.u.

---

A plane-wave DFT calculation with PBE-GGA was carried out for crystalline TbErSi2Mo2C at its relaxed geometry.

The structure belongs to space group Cm (No. 8); the cell edges are 11.138, 3.805 and 7.134 Å and the angles 90.00°, 125.62° and 90.00°. The asymmetric unit holds Tb at (0.000, 0.000, 0.000), Er at (0.150, 0.000, 0.591), Si at (0.206, 0.500, 0.959), Si at (0.444, 0.000, 0.632), Mo at (0.281, 0.500, 0.381), Mo at (0.370, 0.000, 0.213) and C at (0.076, 0.500, 0.299).

For the energy, the calculation gives -110.27 eV per cell. The value obtained for the size of the total moment is 0.00 μB/f.u.

---

A plane-wave DFT calculation with PBE-GGA was carried out for crystalline Er2Si2MoWC at its relaxed geometry.

The structure belongs to space group Cm (No. 8); the cell edges are 11.097, 3.801 and 7.087 Å and the angles 90.00°, 125.40° and 90.00°. The asymmetric unit holds Er at (0.000, 0.000, 0.000), Er at (0.148, 0.000, 0.589), Si at (0.205, 0.500, 0.954), Si at (0.443, 0.000, 0.634), Mo at (0.281, 0.500, 0.380), W at (0.368, 0.000, 0.210) and C at (0.073, 0.500, 0.294).

For the energy, the calculation gives -114.00 eV per cell. The value obtained for the size of the total moment is 0.00 μB/f.u.

---

A plane-wave DFT calculation with PBE-GGA was carried out for crystalline YErSi2Mo2C at its relaxed geometry.

The structure belongs to space group Cm (No. 8); the cell edges are 11.134, 3.803 and 7.126 Å and the angles 90.00°, 125.63° and 90.00°. The asymmetric unit holds Y at (0.000, 0.000, 0.000), Er at (0.150, 0.000, 0.591), Si at (0.206, 0.500, 0.959), Si at (0.444, 0.000, 0.633), Mo at (0.282, 0.500, 0.382), Mo at (0.370, 0.000, 0.212) and C at (0.076, 0.500, 0.299).

For the energy, the calculation gives -113.99 eV per cell. The value obtained for the size of the total moment is 0.00 μB/f.u.

---

A plane-wave DFT calculation with PBE-GGA was carried out for crystalline ErTm2MoC3 at its relaxed geometry.

The structure belongs to space group Cm (No. 8); the cell edges are 12.196, 3.309 and 5.862 Å and the angles 90.00°, 113.59° and 90.00°. The asymmetric unit holds Er at (0.000, 0.000, 0.000), Tm at (0.241, 0.500, 0.457), Tm at (0.481, 0.000, 0.508), Mo at (0.264, 0.000, 0.975), C at (0.146, 0.500, 0.963), C at (0.352, 0.000, 0.738) and C at (0.368, 0.500, 0.228).

For the energy, the calculation gives -107.47 eV per cell. The value obtained for the size of the total moment is 0.01 μB/f.u.

---

A plane-wave DFT calculation with PBE-GGA was carried out for crystalline Er2MoWC3 at its relaxed geometry.

The structure belongs to space group Cm (No. 8); the cell edges are 11.654, 3.313 and 5.680 Å and the angles 90.00°, 111.86° and 90.00°. The asymmetric unit holds Er at (0.000, 0.000, 0.000), Er at (0.221, 0.000, 0.651), Mo at (0.266, 0.500, 0.150), W at (0.454, 0.000, 0.495), C at (0.110, 0.500, 0.822), C at (0.359, 0.500, 0.561) and C at (0.364, 0.000, 0.089).

For the energy, the calculation gives -126.49 eV per cell. The value obtained for the size of the total moment is 0.01 μB/f.u.